A plane-wave DFT calculation with GGA-PBE was carried out for an optimized crystal structure of RbAs2RuBr.

Values from the calculation:
symmetry: P4/mmm (123)
excess energy over the best structure of this formula in the dataset: 0 meV/atom
formation energy (no corrections): -0.1765 eV/atom

```
RbAs2RuBr
1.0
4.750 0.000 0.000
0.000 4.750 0.000
0.000 0.000 6.154
Rb As Ru Br
1 2 1 1
Direct
0.000 0.000 0.000
0.000 0.500 0.500
0.500 0.000 0.500
0.500 0.500 0.500
0.500 0.500 0.000
```



A plane-wave DFT calculation with GGA-PBE was carried out for an optimized crystal structure of SmDyLuZn.

Values from the calculation:
DFT formation energy: 0.02 eV per atom
symmetry: F-43m (216)

```
SmDyLuZn
1.0
0.000 3.767 3.767
3.767 0.000 3.767
3.767 3.767 0.000
Sm Dy Lu Zn
1 1 1 1
Direct
0.000 0.000 0.000
0.500 0.500 0.500
0.750 0.750 0.750
0.250 0.250 0.250
```



A plane-wave DFT calculation with GGA-PBE was carried out for an optimized crystal structure of Be4Co5Ge.

Values from the calculation:
DFT formation energy: -0.26 eV per atom
symmetry: P4/mmm (123)

```
Be4Co5Ge
1.0
2.681 0.000 0.000
0.000 2.681 0.000
0.000 0.000 13.113
Be Co Ge
4 5 1
Direct
0.000 0.000 0.097
0.000 0.000 0.283
0.000 0.000 0.717
0.000 0.000 0.903
0.500 0.500 0.000
0.500 0.500 0.191
0.500 0.500 0.388
0.500 0.500 0.612
0.500 0.500 0.809
0.000 0.000 0.500
```